(1)
# BaLa2Tl, single point on PBEsol structure, DFT SCAN
# - calculated volume (Å³/f.u.) = 145
# - DOS at the Fermi energy (states/eV per cell) = 4.6
# - formation energy (eV/atom) = -0.2506
# - E above lowest polymorph (meV/atom) = 15.6
data_BaLa2Tl
_cell_length_a 3.928
_cell_length_b 3.928
_cell_length_c 9.394
_cell_angle_alpha 90.00
_cell_angle_beta 90.00
_cell_angle_gamma 90.00
_symmetry_space_group_name_H-M 'P 4 m m'
_symmetry_Int_Tables_number 99
_symmetry_space_group_name_Hall 'P 4 -2'
loop_
_atom_site_label
_atom_site_type_symbol
_atom_site_fract_x
_atom_site_fract_y
_atom_site_fract_z
Ba1 Ba 0.000 0.000 0.000
La1 La 0.000 0.000 0.561
La2 La 0.500 0.500 0.328
Tl1 Tl 0.500 0.500 0.756


(2)
# K5B19O31, single point on PBEsol structure, DFT SCAN
# - calculated volume (Å³/f.u.) = 672
# - DOS at the Fermi energy (states/eV per cell) = 0.0
# - formation energy from raw total energies (meV/atom) = -2632
data_K5B19O31
_cell_length_a 17.968
_cell_length_b 11.611
_cell_length_c 12.948
_cell_angle_alpha 90.00
_cell_angle_beta 95.61
_cell_angle_gamma 90.00
_symmetry_space_group_name_H-M 'C 1 2/c 1'
_symmetry_Int_Tables_number 15
_symmetry_space_group_name_Hall '-C 2yc'
loop_
_atom_site_label
_atom_site_type_symbol
_atom_site_fract_x
_atom_site_fract_y
_atom_site_fract_z
K1 K 0.000 0.000 0.000
K2 K 0.163 0.462 0.198
K3 K 0.176 0.229 0.667
B1 B 0.000 0.390 0.750
B2 B 0.015 0.296 0.505
B3 B 0.016 0.451 0.383
B4 B 0.068 0.024 0.241
B5 B 0.076 0.246 0.864
B6 B 0.132 0.338 0.428
B7 B 0.154 0.173 0.301
B8 B 0.173 0.121 0.959
B9 B 0.176 0.063 0.143
B10 B 0.239 0.476 0.477
O1 O 0.000 0.030 0.750
O2 O 0.023 0.227 0.932
O3 O 0.023 0.384 0.050
O4 O 0.023 0.460 0.665
O5 O 0.067 0.318 0.782
O6 O 0.086 0.267 0.492
O7 O 0.087 0.114 0.309
O8 O 0.087 0.423 0.365
O9 O 0.112 0.010 0.668
O10 O 0.141 0.181 0.873
O11 O 0.149 0.134 0.054
O12 O 0.174 0.267 0.360
O13 O 0.186 0.400 0.503
O14 O 0.202 0.137 0.231
O15 O 0.230 0.046 0.941
O16 O 0.237 0.015 0.619


(3)
# YSnIN2, single point on PBEsol structure, DFT SCAN
# - calculated volume (Å³/f.u.) = 99
# - DOS at the Fermi energy (states/eV per cell) = 2.3
# - formation energy from raw total energies (meV/atom) = 765
data_YSnIN2
_cell_length_a 4.225
_cell_length_b 4.225
_cell_length_c 5.572
_cell_angle_alpha 90.00
_cell_angle_beta 90.00
_cell_angle_gamma 90.00
_symmetry_space_group_name_H-M 'P 4/m m m'
_symmetry_Int_Tables_number 123
_symmetry_space_group_name_Hall '-P 4 2'
loop_
_atom_site_label
_atom_site_type_symbol
_atom_site_fract_x
_atom_site_fract_y
_atom_site_fract_z
Y1 Y 0.000 0.000 0.000
Sn1 Sn 0.500 0.500 0.500
I1 I 0.500 0.500 0.000
N1 N 0.000 0.500 0.500


(4)
# Zn2SiIr, single point on PBEsol structure, DFT SCAN
# - calculated volume (Å³/f.u.) = 53
# - DOS at the Fermi energy (states/eV per cell) = 1.7
# - formation energy from raw total energies (meV/atom) = -200
data_Zn2SiIr
_cell_length_a 3.804
_cell_length_b 3.804
_cell_length_c 7.356
_cell_angle_alpha 90.00
_cell_angle_beta 90.00
_cell_angle_gamma 90.00
_symmetry_space_group_name_H-M 'I -4 m 2'
_symmetry_Int_Tables_number 119
_symmetry_space_group_name_Hall 'I -4 -2'
loop_
_atom_site_label
_atom_site_type_symbol
_atom_site_fract_x
_atom_site_fract_y
_atom_site_fract_z
Zn1 Zn 0.000 0.000 0.000
Zn2 Zn 0.000 0.500 0.250
Si1 Si 0.000 0.000 0.500
Ir1 Ir 0.000 0.500 0.750


(5)
# MgCdAg2, single point on PBEsol structure, DFT SCAN
# - calculated volume (Å³/f.u.) = 72
# - DOS at the Fermi energy (states/eV per cell) = 1.3
# - formation energy (eV/atom) = -0.1364
data_MgCdAg2
_cell_length_a 3.133
_cell_length_b 3.788
_cell_length_c 6.092
_cell_angle_alpha 90.00
_cell_angle_beta 90.00
_cell_angle_gamma 90.00
_symmetry_space_group_name_H-M 'P m m 2'
_symmetry_Int_Tables_number 25
_symmetry_space_group_name_Hall 'P 2 -2'
loop_
_atom_site_label
_atom_site_type_symbol
_atom_site_fract_x
_atom_site_fract_y
_atom_site_fract_z
Mg1 Mg 0.000 0.000 0.000
Cd1 Cd 0.500 0.500 0.719
Ag1 Ag 0.000 0.000 0.476
Ag2 Ag 0.500 0.500 0.230


(6)
# MgSbAs2, single point on PBEsol structure, DFT SCAN
# - calculated volume (Å³/f.u.) = 93
# - DOS at the Fermi energy (states/eV per cell) = 1.5
# - E above lowest polymorph (meV/atom) = 0.0
# - formation energy from raw total energies (meV/atom) = -211
data_MgSbAs2
_cell_length_a 3.782
_cell_length_b 3.949
_cell_length_c 6.195
_cell_angle_alpha 90.00
_cell_angle_beta 90.00
_cell_angle_gamma 90.00
_symmetry_space_group_name_H-M 'P m m 2'
_symmetry_Int_Tables_number 25
_symmetry_space_group_name_Hall 'P 2 -2'
loop_
_atom_site_label
_atom_site_type_symbol
_atom_site_fract_x
_atom_site_fract_y
_atom_site_fract_z
Mg1 Mg 0.000 0.000 0.000
Sb1 Sb 0.500 0.500 0.450
As1 As 0.000 0.000 0.556
As2 As 0.500 0.500 0.032


(7)
# KGeRhN2, single point on PBEsol structure, DFT SCAN
# - calculated volume (Å³/f.u.) = 84
# - DOS at the Fermi energy (states/eV per cell) = 2.1
# - formation energy from raw total energies (meV/atom) = 1789
data_KGeRhN2
_cell_length_a 3.769
_cell_length_b 3.769
_cell_length_c 5.921
_cell_angle_alpha 90.00
_cell_angle_beta 90.00
_cell_angle_gamma 90.00
_symmetry_space_group_name_H-M 'P 4/m m m'
_symmetry_Int_Tables_number 123
_symmetry_space_group_name_Hall '-P 4 2'
loop_
_atom_site_label
_atom_site_type_symbol
_atom_site_fract_x
_atom_site_fract_y
_atom_site_fract_z
K1 K 0.000 0.000 0.000
Ge1 Ge 0.000 0.000 0.500
Rh1 Rh 0.500 0.500 0.000
N1 N 0.000 0.500 0.500


(8)
# Ba2Ge3, single point on PBEsol structure, DFT SCAN
# - calculated volume (Å³/f.u.) = 155
# - DOS at the Fermi energy (states/eV per cell) = 5.0
# - formation energy (eV/atom) = -0.5107
data_Ba2Ge3
_cell_length_a 4.081
_cell_length_b 9.359
_cell_length_c 8.115
_cell_angle_alpha 90.00
_cell_angle_beta 90.00
_cell_angle_gamma 90.00
_symmetry_space_group_name_H-M 'I m m 2'
_symmetry_Int_Tables_number 44
_symmetry_space_group_name_Hall 'I 2 -2'
loop_
_atom_site_label
_atom_site_type_symbol
_atom_site_fract_x
_atom_site_fract_y
_atom_site_fract_z
Ba1 Ba 0.000 0.233 0.000
Ge1 Ge 0.000 0.000 0.329
Ge2 Ge 0.000 0.000 0.631
Ge3 Ge 0.000 0.500 0.305


Which value of DOS at the Fermi energy does entry 7 give?
2.1 states/eV per cell